No. 1
The following is a DFT calculation (PBE-GGA) of TcGePb3 after structural relaxation.

a = 5.4575 Å, b = 5.4575 Å, c = 5.4575 Å
α = 90.00°, β = 90.00°, γ = 90.00°
Last column: nearest neighbours and their distance in Å.
Fractional coordinates of all 5 atoms:
1 Tc 0.0000 0.0000 0.0000  12 Pb 3.86
2 Ge 0.5000 0.5000 0.5000  6 Pb 2.73
3 Pb 0.0000 0.5000 0.5000  2 Ge 2.73
4 Pb 0.5000 0.0000 0.5000  2 Ge 2.73
5 Pb 0.5000 0.5000 0.0000  2 Ge 2.73

Energy of formation ... 29.076 kcal/mol of atoms
Excess energy over the best structure of this formula in the dataset ... 639 meV per atom
Magnetization ... 3.5 μB per formula unit

***

No. 2
The following is a DFT calculation (PBE-GGA) of B2TePbI after structural relaxation.

a = 4.6654 Å, b = 4.6654 Å, c = 6.6009 Å
α = 90.00°, β = 90.00°, γ = 90.00°
Last column: nearest neighbours and their distance in Å.
Fractional coordinates of all 5 atoms:
1 B 0.0000 0.5000 0.0000  2 Te 2.33
2 B 0.5000 0.0000 0.0000  2 Te 2.33
3 Te 0.0000 0.0000 0.0000  4 B 2.33
4 Pb 0.0000 0.0000 0.5000  4 I 3.30, 2 Te 3.30
5 I 0.5000 0.5000 0.5000  4 Pb 3.30

Magnetization ... 0.6 μB per formula unit
E_form (uncorrected) ... 1.4534 eV per atom

***

No. 3
The following is a DFT calculation (PBE-GGA) of SiMo2 after structural relaxation.

a = 6.5716 Å, b = 6.5716 Å, c = 4.2664 Å
α = 90.00°, β = 90.00°, γ = 151.38°
Last column: nearest neighbours and their distance in Å.
Fractional coordinates of all 6 atoms:
1 Si 0.0937 0.9063 0.7500  10 Mo 2.64-2.86
2 Si 0.9063 0.0937 0.2500  10 Mo 2.64-2.86
3 Mo 0.2429 0.7571 0.2500  4 Si 2.64-2.86, 6 Mo 2.69-2.74
4 Mo 0.4305 0.5695 0.7500  6 Si 2.64-2.70, 4 Mo 2.74-2.77
5 Mo 0.5695 0.4305 0.2500  6 Si 2.64-2.70, 4 Mo 2.74-2.77
6 Mo 0.7571 0.2429 0.7500  4 Si 2.64-2.86, 6 Mo 2.69-2.74

Excess energy over the best structure of this formula in the dataset ... 165 meV per atom
Magnetization ... 0.0 μB per formula unit
E_form (uncorrected) ... -0.1614 eV per atom

***

No. 4
The following is a DFT calculation (PBE-GGA) of NbVB3 after structural relaxation.

a = 4.1399 Å, b = 4.1399 Å, c = 4.1399 Å
α = 90.00°, β = 90.00°, γ = 90.00°
Last column: nearest neighbours and their distance in Å.
Fractional coordinates of all 5 atoms:
1 Nb 0.0000 0.0000 0.0000  6 B 2.07
2 V 0.5000 0.5000 0.5000  12 B 2.93
3 B 0.0000 0.0000 0.5000  2 Nb 2.07
4 B 0.0000 0.5000 0.0000  2 Nb 2.07
5 B 0.5000 0.0000 0.0000  2 Nb 2.07

Energy of formation ... 31.556 kcal/mol of atoms
Excess energy over the best structure of this formula in the dataset ... 2136 meV per atom
Magnetization ... 2.6 μB per formula unit

***

No. 5
The following is a DFT calculation (PBE-GGA) of Pm3Dy3Ge4 after structural relaxation.

a = 4.3364 Å, b = 7.6701 Å, c = 7.6701 Å
α = 90.07°, β = 90.00°, γ = 90.00°
Last column: nearest neighbours and their distance in Å.
Fractional coordinates of all 10 atoms:
1 Pm 0.0000 0.0000 0.0000  6 Ge 3.11-3.17
2 Pm 0.0000 0.4972 0.8462  6 Ge 3.10-3.19
3 Pm 0.0000 0.8462 0.4972  6 Ge 3.10-3.19
4 Dy 0.0000 0.3468 0.3468  6 Ge 3.06-3.14
5 Dy 0.5000 0.1725 0.6734  4 Ge 3.02-3.07
6 Dy 0.5000 0.6734 0.1725  4 Ge 3.02-3.07
7 Ge 0.5000 0.0543 0.2975  1 Ge 2.64
8 Ge 0.5000 0.2975 0.0543  1 Ge 2.64
9 Ge 0.5000 0.5454 0.5454  1 Ge 2.70, 2 Dy 3.03
10 Ge 0.5000 0.7949 0.7949  1 Ge 2.70

Energy of formation ... -18.026 kcal/mol of atoms
Magnetization ... 0.0 μB per formula unit

***

No. 6
The following is a DFT calculation (PBE-GGA) of AlReAg2 after structural relaxation.

a = 2.7609 Å, b = 4.2482 Å, c = 5.7145 Å
α = 90.00°, β = 103.91°, γ = 90.00°
Last column: nearest neighbours and their distance in Å.
Fractional coordinates of all 4 atoms:
1 Al 0.0000 0.0000 0.0000  3 Ag 2.59-2.71, 4 Re 2.69-2.70, 2 Al 2.76
2 Re 0.5830 0.5000 0.1656  4 Al 2.69-2.70, 2 Re 2.76, 3 Ag 2.94-2.95
3 Ag 0.2357 0.0000 0.4673  1 Al 2.59, 6 Ag 2.76-2.83
4 Ag 0.8498 0.5000 0.6962  2 Al 2.71, 6 Ag 2.76-2.83, 3 Re 2.94-2.95

Energy of formation ... 5.855 kcal/mol of atoms
Magnetization ... 0.0 μB per formula unit

***

No. 7
The following is a DFT calculation (PBE-GGA) of PuPd6Pt after structural relaxation.

a = 5.6947 Å, b = 5.6947 Å, c = 4.0816 Å
α = 90.00°, β = 90.00°, γ = 90.00°
Last column: nearest neighbours and their distance in Å.
Fractional coordinates of all 8 atoms:
1 Pu 0.0000 0.0000 0.0000  12 Pd 2.85-2.89
2 Pd 0.0000 0.5000 0.0000  2 Pt 2.85, 2 Pu 2.85, 8 Pd 2.87
3 Pd 0.2535 0.2535 0.5000  8 Pd 2.81-2.89, 2 Pt 2.85, 2 Pu 2.89
4 Pd 0.2535 0.7465 0.5000  8 Pd 2.81-2.89, 2 Pt 2.85, 2 Pu 2.89
5 Pd 0.5000 0.0000 0.0000  2 Pt 2.85, 2 Pu 2.85, 8 Pd 2.87
6 Pd 0.7465 0.2535 0.5000  8 Pd 2.81-2.89, 2 Pt 2.85, 2 Pu 2.89
7 Pd 0.7465 0.7465 0.5000  8 Pd 2.81-2.89, 2 Pt 2.85, 2 Pu 2.89
8 Pt 0.5000 0.5000 0.0000  12 Pd 2.85

Energy of formation ... -6.827 kcal/mol of atoms
Excess energy over the best structure of this formula in the dataset ... 0 meV per atom
Magnetization ... 3.9 μB per formula unit

***

No. 8
The following is a DFT calculation (PBE-GGA) of Zr2Sc3Fe2 after structural relaxation.

a = 5.7953 Å, b = 5.7953 Å, c = 8.1826 Å
α = 113.75°, β = 113.75°, γ = 33.20°
Last column: nearest neighbours and their distance in Å.
Fractional coordinates of all 7 atoms:
1 Zr 0.1625 0.1625 0.3128  2 Fe 2.49
2 Zr 0.8375 0.8375 0.6872  2 Fe 2.49
3 Sc 0.3815 0.3815 0.0674  3 Fe 2.67-2.72
4 Sc 0.5000 0.5000 0.5000  4 Fe 2.68
5 Sc 0.6185 0.6185 0.9326  3 Fe 2.67-2.72
6 Fe 0.1844 0.1844 0.7278  2 Zr 2.49, 5 Sc 2.67-2.72
7 Fe 0.8156 0.8156 0.2722  2 Zr 2.49, 5 Sc 2.67-2.72

Energy of formation ... -2.203 kcal/mol of atoms
Magnetization ... 0.0 μB per formula unit

***

no.,calculated total energy (eV per atom)
1,-3.961
2,-2.898
3,-9.190
4,-6.476
5,-5.434
6,-5.219
7,-6.737
8,-7.669